Record 1
## Zr2RePS (GGA-PBE)

Data for a relaxed structure of Zr2RePS.

Cell lengths 4.811, 4.221, 4.811 Å; angles 90.00, 90.00, 90.00 degrees
Positions (direct):
Re  0.500  0.500  0.500
S  0.000  0.000  0.000
Zr  0.000  0.000  0.500
Zr  0.500  0.000  0.000
P  0.000  0.500  0.000

Values from the calculation:
As for the symmetry: P4/mmm. For the raw formation energy, the calculation gives 478 meV per atom.

---

Record 2
## ZrRePS2 (GGA-PBE)

Data for a relaxed structure of ZrRePS2.

Cell lengths 4.595, 4.595, 4.658 Å; angles 90.00, 90.00, 90.00 degrees
Each line ends with the local moment (μB).
Positions (direct):
Re  0.000  0.000  0.000  0.35
S  0.000  0.500  0.000  -0.01
S  0.500  0.000  0.000  -0.01
Zr  0.500  0.500  0.500  0.40
P  0.000  0.000  0.500  -0.01

Values from the calculation:
As for the symmetry: P4/mmm. The value obtained for the energy above the most stable polymorph in this dataset is 0 meV per atom. For the raw formation energy, the calculation gives 308 meV per atom.

---

Record 3
## Re2SbP (GGA-PBE)

Data for a relaxed structure of Re2SbP.

Cell lengths 4.429, 4.429, 3.158 Å; angles 90.00, 90.00, 90.00 degrees
Positions (direct):
Re  0.500  0.000  0.000
Re  0.000  0.500  0.000
Sb  0.500  0.500  0.500
P  0.000  0.000  0.500

Values from the calculation:
As for the symmetry: P4/mmm. The value obtained for the energy above the most stable polymorph in this dataset is 336 meV per atom. For the raw formation energy, the calculation gives 456 meV per atom.

---

Record 4
## Re2SbP (GGA-PBE)

Data for a relaxed structure of Re2SbP.

Cell lengths 3.727, 3.169, 5.759 Å; angles 76.74, 90.00, 90.00 degrees
Positions (direct):
Re  0.000  0.139  0.714
Re  0.000  0.861  0.286
Sb  0.500  0.500  0.000
P  0.500  0.000  0.500

Values from the calculation:
As for the symmetry: P2/m. The value obtained for the energy above the most stable polymorph in this dataset is 339 meV per atom. For the raw formation energy, the calculation gives 460 meV per atom.

---

Record 5
## ReSbP3 (GGA-PBE)

Data for a relaxed structure of ReSbP3.

Cell lengths 4.911, 4.911, 4.911 Å; angles 90.00, 90.00, 90.00 degrees
Each line ends with the local moment (μB).
Positions (direct):
Re  0.500  0.500  0.500  3.21
P  0.000  0.500  0.000  -0.24
P  0.000  0.000  0.500  -0.20
P  0.500  0.000  0.000  -0.18
Sb  0.000  0.000  0.000  -0.01

Values from the calculation:
As for the symmetry: Pm-3m. The value obtained for the energy above the most stable polymorph in this dataset is 1429 meV per atom. For the raw formation energy, the calculation gives 2044 meV per atom.

---

Record 6
## ReSbP (GGA-PBE)

Data for a relaxed structure of ReSbP.

Cell lengths 6.496, 6.496, 6.496 Å; angles 152.60, 152.60, 39.13 degrees
Positions (direct):
Re  0.353  0.353  0.000
Sb  0.695  0.695  0.000
P  0.952  0.952  0.000

Values from the calculation:
As for the symmetry: I4mm. The value obtained for the energy above the most stable polymorph in this dataset is 164 meV per atom. For the raw formation energy, the calculation gives 141 meV per atom.

---

Calculated total DFT energy (no corrections) (eV per atom), listed in the same order as above: -7.339 -6.624 -8.151 -8.148 -4.516 -7.185